(1)
This record from Alexandria via LeMat-Bulk describes CsPRhCl2 after structural relaxation. The functional is PBE.

## Properties
Theoretical density ... 2.7 g/cm³
Total magnetization ... 0.7971 μB per atom
DFT total energy ... -2.27 eV/atom
Energy above the lowest structure with this stoichiometry ... 1.809 eV/atom
Energy relative to the elements, uncorrected ... 1.192 eV per atom

Cell: 5.9963 5.9963 5.8319 Å, 90.00 90.00 90.00°
Last column: nearest neighbours and their distance in Å.
Element x y z (fractional)
Cs (0.0000, 0.0000, 0.0000)  2 P 2.92, 4 Cl 3.00
P (0.0000, 0.0000, 0.5000)  2 Cs 2.92
Rh (0.5000, 0.5000, 0.5000)  8 Cl 4.18, 4 P 4.24
Cl (0.0000, 0.5000, 0.0000)  2 Cs 3.00
Cl (0.5000, 0.0000, 0.0000)  2 Cs 3.00



(2)
This record from Alexandria via LeMat-Bulk describes Sc3TlO after structural relaxation. The functional is PBE.

## Properties
Theoretical density ... 5.5 g/cm³
Total magnetization ... 0.0000 μB per atom
DFT total energy ... -6.36 eV/atom
Energy relative to the elements, uncorrected ... -1.097 eV per atom

Cell: 8.8401 8.8401 7.8004 Å, 95.54 95.54 20.86°
Last column: nearest neighbours and their distance in Å.
Element x y z (fractional)
Sc (0.0458, 0.0458, 0.2030)  2 O 2.14
Sc (0.1627, 0.1627, 0.5044)  2 O 2.22
Sc (0.2944, 0.2944, 0.8179)  1 O 2.30
Sc (0.7056, 0.7056, 0.1821)  1 O 2.30
Sc (0.8373, 0.8373, 0.4956)  2 O 2.22
Sc (0.9542, 0.9542, 0.7970)  2 O 2.14
Tl (0.1235, 0.1235, 0.8705)  6 Sc 2.94-3.13, 2 Tl 3.20
Tl (0.8765, 0.8765, 0.1295)  6 Sc 2.94-3.13, 2 Tl 3.20
O (0.3973, 0.3973, 0.6543)  5 Sc 2.14-2.30
O (0.6027, 0.6027, 0.3457)  5 Sc 2.14-2.30



(3)
This record from Alexandria via LeMat-Bulk describes Cd2CoRh after structural relaxation. The functional is PBE.

## Properties
Theoretical density ... 9.9 g/cm³
Energy of formation ... 0.17 eV per atom
Total magnetization ... 0.2858 μB per atom
DFT total energy ... -3.90 eV/atom

Cell: 3.2045 3.2045 6.2895 Å, 90.00 90.00 90.00°
Last column: nearest neighbours and their distance in Å.
Element x y z (fractional)
Cd (0.0000, 0.0000, 0.2421)  4 Co 2.73, 4 Rh 2.79, 1 Cd 3.04
Cd (0.0000, 0.0000, 0.7579)  4 Co 2.73, 4 Rh 2.79, 1 Cd 3.04
Co (0.5000, 0.5000, 0.0000)  8 Cd 2.73
Rh (0.5000, 0.5000, 0.5000)  8 Cd 2.79



(4)
This record from Alexandria via LeMat-Bulk describes CdW2Cl after structural relaxation. The functional is PBE.

## Properties
Theoretical density ... 12.7 g/cm³
Total magnetization ... 0.0000 μB per atom
DFT total energy ... -6.39 eV/atom
Energy above the lowest structure with this stoichiometry ... 0.548 eV/atom
Energy relative to the elements, uncorrected ... 0.779 eV per atom

Cell: 9.3437 9.3437 9.3437 Å, 17.89 17.89 17.89°
Last column: nearest neighbours and their distance in Å.
Element x y z (fractional)
Cd (0.0000, 0.0000, 0.0000)  6 Cd 2.91, 6 W 3.00
W (0.2430, 0.2430, 0.2430)  3 Cl 2.69, 6 W 2.91, 3 Cd 3.00
W (0.7570, 0.7570, 0.7570)  3 Cl 2.69, 6 W 2.91, 3 Cd 3.00
Cl (0.5000, 0.5000, 0.5000)  6 W 2.69, 6 Cl 2.91



(5)
This record from Alexandria via LeMat-Bulk describes CaY2Cl after structural relaxation. The functional is PBE.

## Properties
Theoretical density ... 3.3 g/cm³
Total magnetization ... 0.4695 μB per atom
DFT total energy ... -4.24 eV/atom
Energy above the lowest structure with this stoichiometry ... 0.688 eV/atom
Energy relative to the elements, uncorrected ... -0.042 eV per atom

Cell: 6.5634 6.5634 6.5634 Å, 137.77 137.77 61.26°
Last column: nearest neighbours and their distance in Å.
Element x y z (fractional)
Ca (0.0000, 0.0000, 0.0000)  8 Y 3.34-3.68, 4 Cl 3.68
Y (0.5000, 0.5000, 0.0000)  4 Ca 3.34, 4 Cl 3.68, 4 Y 3.68
Y (0.7500, 0.2500, 0.5000)  4 Cl 3.34, 4 Ca 3.68, 4 Y 3.68
Cl (0.2500, 0.7500, 0.5000)  8 Y 3.34-3.68, 4 Ca 3.68



(6)
This record from Alexandria via LeMat-Bulk describes SrBeRe2 after structural relaxation. The functional is PBE.

## Properties
Theoretical density ... 10.8 g/cm³
Energy of formation ... 0.36 eV per atom
Total magnetization ... 0.0000 μB per atom
DFT total energy ... -7.21 eV/atom

Cell: 3.1160 3.1160 7.4183 Å, 90.00 90.00 90.00°
Last column: nearest neighbours and their distance in Å.
Element x y z (fractional)
Sr (0.0000, 0.0000, 0.0000)  4 Sr 3.12, 4 Be 3.30, 4 Re 3.30
Be (0.5000, 0.5000, 0.3307)  5 Re 2.46-2.51
Re (0.0000, 0.0000, 0.4784)  4 Be 2.46, 4 Re 2.62
Re (0.5000, 0.5000, 0.6684)  1 Be 2.51, 4 Re 2.62



(7)
This record from Alexandria via LeMat-Bulk describes Be2HAu2 after structural relaxation. The functional is PBE.

## Properties
Theoretical density ... 11.2 g/cm³
Total magnetization ... 0.0000 μB per atom
DFT total energy ... -3.16 eV/atom

Cell: 5.9838 5.9838 3.4303 Å, 90.00 90.00 90.00°
Last column: nearest neighbours and their distance in Å.
Element x y z (fractional)
Be (0.1435, 0.3565, 0.0000)  2 H 2.30, 6 Au 2.37-2.52, 1 Be 2.43
Be (0.3565, 0.8565, 0.0000)  2 H 2.30, 6 Au 2.37-2.52, 1 Be 2.43
Be (0.6435, 0.1435, 0.0000)  2 H 2.30, 6 Au 2.37-2.52, 1 Be 2.43
Be (0.8565, 0.6435, 0.0000)  2 H 2.30, 6 Au 2.37-2.52, 1 Be 2.43
H (0.0000, 0.0000, 0.0000)  4 Be 2.30
H (0.5000, 0.5000, 0.0000)  4 Be 2.30
Au (0.1634, 0.6634, 0.5000)  6 Be 2.37-2.52
Au (0.3366, 0.1634, 0.5000)  6 Be 2.37-2.52
Au (0.6634, 0.8366, 0.5000)  6 Be 2.37-2.52
Au (0.8366, 0.3366, 0.5000)  6 Be 2.37-2.52



(8)
This record from Alexandria via LeMat-Bulk describes PrMgSc2 after structural relaxation. The functional is PBE.

## Properties
Theoretical density ... 3.9 g/cm³
Energy of formation ... 0.01 eV per atom
Total magnetization ... 0.2252 μB per atom
DFT total energy ... -4.75 eV/atom
Energy above the lowest structure with this stoichiometry ... 0.000 eV/atom

Cell: 3.4435 3.4435 9.1263 Å, 90.00 90.00 90.00°
Last column: nearest neighbours and their distance in Å.
Element x y z (fractional)
Pr (0.0000, 0.0000, 0.0000)  4 Pr 3.44, 4 Mg 3.46, 4 Sc 3.51
Mg (0.5000, 0.5000, 0.2688)  4 Sc 3.19, 4 Mg 3.44, 4 Pr 3.46
Sc (0.0000, 0.0000, 0.4943)  4 Mg 3.19, 8 Sc 3.21-3.44
Sc (0.5000, 0.5000, 0.7228)  8 Sc 3.21-3.44, 4 Pr 3.51



(9)
This record from Alexandria via LeMat-Bulk describes TaCr2Ru after structural relaxation. The functional is PBE.

## Properties
Theoretical density ... 11.4 g/cm³
Energy of formation ... 0.09 eV per atom
Total magnetization ... 0.0000 μB per atom
DFT total energy ... -10.01 eV/atom
Energy above the lowest structure with this stoichiometry ... 0.146 eV/atom

Cell: 4.9636 4.9636 2.7066 Å, 100.23 100.23 116.79°
Last column: nearest neighbours and their distance in Å.
Element x y z (fractional)
Ta (0.0000, 0.0000, 0.0000)  2 Ru 2.60, 4 Cr 2.61, 2 Ta 2.71
Cr (0.0000, 0.5000, 0.5000)  4 Cr 2.60-2.71, 2 Ta 2.61, 2 Ru 2.61
Cr (0.5000, 0.0000, 0.5000)  4 Cr 2.60-2.71, 2 Ta 2.61, 2 Ru 2.61
Ru (0.5000, 0.5000, 0.0000)  2 Ta 2.60, 4 Cr 2.61, 2 Ru 2.71



(10)
This record from Alexandria via LeMat-Bulk describes Tl5Hg3H2 after structural relaxation. The functional is PBE.

## Properties
Theoretical density ... 10.6 g/cm³
Total magnetization ... 0.0000 μB per atom
DFT total energy ... -1.80 eV/atom

Cell: 6.4722 6.5514 12.5261 Å, 100.28 96.29 100.74°
Last column: nearest neighbours and their distance in Å.
Element x y z (fractional)
Tl (0.0988, 0.1565, 0.3865)  3 Hg 3.25-3.55, 5 Tl 3.29-3.53
Tl (0.1224, 0.6522, 0.3627)  3 Hg 3.17-3.28, 4 Tl 3.29-3.51
Tl (0.1940, 0.2071, 0.8470)  1 H 2.05
Tl (0.3327, 0.0016, 0.1512)  1 H 2.10
Tl (0.3896, 0.5860, 0.6254)  4 Hg 3.26-3.34, 3 Tl 3.42-3.57
Tl (0.6104, 0.4140, 0.3746)  4 Hg 3.26-3.34, 3 Tl 3.42-3.57
Tl (0.6673, 0.9984, 0.8488)  1 H 2.10
Tl (0.8060, 0.7929, 0.1530)  1 H 2.05
Tl (0.8776, 0.3478, 0.6373)  3 Hg 3.17-3.28, 4 Tl 3.29-3.51
Tl (0.9012, 0.8435, 0.6135)  3 Hg 3.25-3.55, 5 Tl 3.29-3.53
Hg (0.1632, 0.6954, 0.8424)  1 H 1.87
Hg (0.3356, 0.5080, 0.1538)  1 H 1.88
Hg (0.3881, 0.0775, 0.6092)  7 Tl 3.25-3.50, 1 Hg 3.32
Hg (0.6119, 0.9225, 0.3908)  7 Tl 3.25-3.50, 1 Hg 3.32
Hg (0.6644, 0.4920, 0.8462)  1 H 1.88
Hg (0.8368, 0.3046, 0.1576)  1 H 1.87
H (0.2460, 0.8568, 0.9846)  1 Hg 1.87
H (0.2660, 0.3455, 0.0105)  1 Hg 1.88, 1 Tl 2.05
H (0.7340, 0.6545, 0.9895)  1 Hg 1.88, 1 Tl 2.05
H (0.7540, 0.1432, 0.0154)  1 Hg 1.87



(11)
This record from Alexandria via LeMat-Bulk describes Th2Re2N5 after structural relaxation. The functional is PBE.

## Properties
Theoretical density ... 11.9 g/cm³
Total magnetization ... 0.0000 μB per atom
DFT total energy ... -9.79 eV/atom
Energy relative to the elements, uncorrected ... -0.746 eV per atom

Cell: 8.7795 8.7795 5.5531 Å, 107.92 107.92 126.38°
Last column: nearest neighbours and their distance in Å.
Element x y z (fractional)
Th (0.0882, 0.3703, 0.4755)  3 N 2.29-2.49
Th (0.3703, 0.0882, 0.4755)  3 N 2.29-2.49
Th (0.6297, 0.9118, 0.5245)  3 N 2.29-2.49
Th (0.9118, 0.6297, 0.5245)  3 N 2.29-2.49
Re (0.0000, 0.5000, 0.0000)  6 N 1.99-2.18
Re (0.3339, 0.3339, 0.9907)  4 N 1.99-2.09
Re (0.5000, 0.0000, 0.0000)  6 N 1.99-2.18
Re (0.6661, 0.6661, 0.0093)  4 N 1.99-2.09
N (0.0806, 0.3051, 0.9336)  2 Re 1.99-2.18
N (0.2611, 0.7389, 0.0000)  2 Re 1.99
N (0.2707, 0.7293, 0.5000)  2 Re 2.06
N (0.3051, 0.0806, 0.9336)  2 Re 1.99-2.18
N (0.3273, 0.3273, 0.6088)  2 Re 2.00-2.09
N (0.6727, 0.6727, 0.3912)  2 Re 2.00-2.09
N (0.6949, 0.9194, 0.0664)  2 Re 1.99-2.18
N (0.7293, 0.2707, 0.5000)  2 Re 2.06
N (0.7389, 0.2611, 0.0000)  2 Re 1.99
N (0.9194, 0.6949, 0.0664)  2 Re 1.99-2.18



(12)
This record from Alexandria via LeMat-Bulk describes K2FeRhS after structural relaxation. The functional is PBE.

## Properties
Theoretical density ... 2.7 g/cm³
Total magnetization ... 0.7439 μB per atom
DFT total energy ... -3.99 eV/atom
Energy above the lowest structure with this stoichiometry ... 0.000 eV/atom
Energy relative to the elements, uncorrected ... 0.433 eV per atom

Cell: 6.1813 6.1813 4.3099 Å, 90.00 90.00 90.00°
Last column: nearest neighbours and their distance in Å.
Element x y z (fractional)
K (0.0000, 0.5000, 0.0000)  2 S 3.09
K (0.5000, 0.0000, 0.0000)  2 S 3.09
Fe (0.0000, 0.0000, 0.5000)  8 K 3.77
Rh (0.5000, 0.5000, 0.5000)  2 S 2.15
S (0.5000, 0.5000, 0.0000)  2 Rh 2.15